# ZnHgMoF2

A geometry-optimized ZnHgMoF2 structure (PBE+U, Alexandria via LeMat-Bulk).

Summary:
**Spin magnetization**: 4.8 μB per formula unit
**Total DFT energy (no corrections)**: -3.13 eV/atom
**Density**: 6.4 g/cm3
**Crystal system**: tetragonal

Cell: 4.063 6.258 4.063 Å, 90.00 90.00 90.00°
Sites, in units of the cell vectors:
Hg 0.500 0.500 0.500
Zn 0.000 0.000 0.000
Mo 0.000 0.500 0.000
F 0.000 0.000 0.500
F 0.500 0.000 0.000